! GdScIr (PBE, relaxed); values from VASP
&SYSTEM
  ibrav = 0, nat = 3, ntyp = 3
/
ATOMIC_SPECIES
Sc 44.96 Sc.upf
Gd 157.25 Gd.upf
Ir 192.22 Ir.upf
CELL_PARAMETERS angstrom
-3.657 0.949 2.772
-2.787 -3.468 1.472
0.068 -1.311 4.499
ATOMIC_POSITIONS crystal
Sc 0.500 0.500 0.500
Gd 0.000 0.000 0.000
Ir 0.250 0.250 0.250
! - Space-group type: No. 216
! - ΔH_f (0 K): -642.5 meV per atom
! - Offset from the most stable computed form: 0.000 eV per formula unit
! - Volume: 24.26 Å³/atom
! - M_tot: 2.504 μB per atom

! YSnAu (PBE, relaxed); values from VASP
&SYSTEM
  ibrav = 0, nat = 3, ntyp = 3
/
ATOMIC_SPECIES
Au 196.97 Au.upf
Sn 118.71 Sn.upf
Y 88.91 Y.upf
CELL_PARAMETERS angstrom
-2.765 1.149 -1.918
0.323 -2.814 -2.151
-2.356 -2.153 5.403
ATOMIC_POSITIONS crystal
Au 0.944 0.944 0.888
Sn 0.604 0.604 0.208
Y 0.302 0.302 0.604
! - Space-group type: No. 107
! - ΔH_f (0 K): -590.0 meV per atom
! - Volume: 24.24 Å³/atom
! - M_tot: 0.000 μB per atom